*A*
The following is a DFT calculation (GGA-PBE) of Ba3Al2Ga4 after structural relaxation.

a b c (Å): 6.9491 9.5357 9.5357
angles (deg): 63.54 68.95 68.95
With the nearest neighbours (Å) after each atom.
Fractional coordinates of all 18 atoms:
Ba  0.9008  0.9867  0.2213  5 Ga 3.33-3.73, 2 Al 3.38-3.41
Ba  0.5992  0.7787  0.0133  5 Ga 3.33-3.73, 2 Al 3.38-3.41
Ba  0.0992  0.0133  0.7787  5 Ga 3.33-3.73, 2 Al 3.38-3.41
Ba  0.4008  0.2213  0.9867  5 Ga 3.33-3.73, 2 Al 3.38-3.41
Ba  0.2500  0.5079  0.4921  6 Ga 3.43-3.73, 2 Ba 3.48, 2 Al 3.51
Ba  0.7500  0.4921  0.5079  6 Ga 3.43-3.73, 2 Ba 3.48, 2 Al 3.51
Al  0.4081  0.1561  0.4046  4 Ga 2.60-2.81, 1 Al 2.81
Al  0.0919  0.5954  0.8439  4 Ga 2.60-2.81, 1 Al 2.81
Al  0.5919  0.8439  0.5954  4 Ga 2.60-2.81, 1 Al 2.81
Al  0.9081  0.4046  0.1561  4 Ga 2.60-2.81, 1 Al 2.81
Ga  0.3682  0.8900  0.3786  2 Al 2.77-2.81, 2 Ga 2.83-2.85
Ga  0.1318  0.6214  0.1100  2 Al 2.77-2.81, 2 Ga 2.83-2.85
Ga  0.6318  0.1100  0.6214  2 Al 2.77-2.81, 2 Ga 2.83-2.85
Ga  0.8682  0.3786  0.8900  2 Al 2.77-2.81, 2 Ga 2.83-2.85
Ga  0.0318  0.1596  0.4057  2 Al 2.60-2.63, 3 Ga 2.83-2.86
Ga  0.4682  0.5943  0.8404  2 Al 2.60-2.63, 3 Ga 2.83-2.86
Ga  0.9682  0.8404  0.5943  2 Al 2.60-2.63, 3 Ga 2.83-2.86
Ga  0.5318  0.4057  0.1596  2 Al 2.60-2.63, 3 Ga 2.83-2.86

Symmetry: C2/c (15)
Density of states at the Fermi level, states/eV per atom: 0.3917
V, Å³/cell: 513


*B*
The following is a DFT calculation (GGA-PBE) of Ba3Al2Ga4 after structural relaxation.

a b c (Å): 4.4705 6.8551 9.5720
angles (deg): 109.65 90.00 109.03
With the nearest neighbours (Å) after each atom.
Fractional coordinates of all 9 atoms:
Ba  0.6048  0.2096  0.6756  8 Ga 3.41-3.77, 1 Ba 3.49, 3 Al 3.50-3.80
Ba  0.0000  0.0000  0.0000  8 Ga 3.62-3.82, 4 Al 3.77
Ba  0.3952  0.7904  0.3244  8 Ga 3.41-3.77, 1 Ba 3.49, 3 Al 3.50-3.80
Al  0.6828  0.3655  0.3044  4 Ga 2.64-2.76
Al  0.3172  0.6345  0.6956  4 Ga 2.64-2.76
Ga  0.7307  0.4614  0.0548  2 Ga 2.59, 1 Al 2.67
Ga  0.2693  0.5386  0.9452  2 Ga 2.59, 1 Al 2.67
Ga  0.8550  0.7100  0.5755  3 Al 2.64-2.76
Ga  0.1450  0.2900  0.4245  3 Al 2.64-2.76

Symmetry: C2/m (12)
Density of states at the Fermi level, states/eV per atom: 0.5307
V, Å³/cell: 259


Structures ranked by computed energy, the most stable listed first: *B*, *A*.


*A*
The following is a DFT calculation (GGA-PBE) of BaAlGa3 after structural relaxation.

a b c (Å): 4.6365 4.6421 6.3562
angles (deg): 68.36 68.40 89.99
With the nearest neighbours (Å) after each atom.
Fractional coordinates of all 5 atoms:
Ba  0.3996  0.2031  0.9065  12 Ga 3.52-3.60, 4 Al 3.55-3.56
Al  0.0267  0.8305  0.6532  5 Ga 2.66-2.69
Ga  0.6522  0.9528  0.4034  2 Al 2.68-2.69, 2 Ga 2.71-2.72
Ga  0.1495  0.4558  0.4039  2 Al 2.68-2.69, 2 Ga 2.71-2.72
Ga  0.7798  0.5829  0.1442  1 Al 2.66, 4 Ga 2.71-2.72

Symmetry: Cm (8)
Density of states at the Fermi level, states/eV per atom: 0.4180
V, Å³/cell: 117


*B*
The following is a DFT calculation (GGA-PBE) of BaAlGa3 after structural relaxation.

a b c (Å): 5.0986 5.0986 5.0986
angles (deg): 90.00 90.00 90.00
With the nearest neighbours (Å) after each atom.
Fractional coordinates of all 5 atoms:
Ba  0.5000  0.5000  0.5000  12 Ga 3.61
Ga  0.0000  0.5000  0.0000  2 Al 2.55
Ga  0.0000  0.0000  0.5000  2 Al 2.55
Ga  0.5000  0.0000  0.0000  2 Al 2.55
Al  0.0000  0.0000  0.0000  6 Ga 2.55

Symmetry: Pm-3m (221)
Density of states at the Fermi level, states/eV per atom: 0.8108
V, Å³/cell: 133


Structures ranked by computed energy, the most stable listed first: *A*, *B*.


*A*
The following is a DFT calculation (GGA-PBE) of Ba3Al2Ga3 after structural relaxation.

a b c (Å): 4.6066 6.8813 16.1996
angles (deg): 90.00 90.00 109.56
With the nearest neighbours (Å) after each atom.
Fractional coordinates of all 16 atoms:
Ba  0.9299  0.8598  0.3981  5 Ga 3.43-3.67, 2 Al 3.49, 1 Ba 3.77
Ba  0.0701  0.1402  0.8981  5 Ga 3.43-3.67, 2 Al 3.49, 1 Ba 3.77
Ba  0.9299  0.8598  0.1019  5 Ga 3.43-3.67, 2 Al 3.49, 1 Ba 3.77
Ba  0.0701  0.1402  0.6019  5 Ga 3.43-3.67, 2 Al 3.49, 1 Ba 3.77
Ba  0.6333  0.2666  0.2500  4 Ga 3.45-3.48, 4 Al 3.53
Ba  0.3667  0.7334  0.7500  4 Ga 3.45-3.48, 4 Al 3.53
Al  0.7723  0.5446  0.8971  4 Ga 2.68-2.75
Al  0.2277  0.4554  0.3971  4 Ga 2.68-2.75
Al  0.7723  0.5446  0.6029  4 Ga 2.68-2.75
Al  0.2277  0.4554  0.1029  4 Ga 2.68-2.75
Ga  0.6588  0.3176  0.4619  3 Al 2.68-2.72
Ga  0.3412  0.6824  0.9619  3 Al 2.68-2.72
Ga  0.6588  0.3176  0.0381  3 Al 2.68-2.72
Ga  0.3412  0.6824  0.5381  3 Al 2.68-2.72
Ga  0.3341  0.6683  0.2500  2 Al 2.75
Ga  0.6659  0.3317  0.7500  2 Al 2.75

Symmetry: Cmcm (63)
Density of states at the Fermi level, states/eV per atom: 0.5470
V, Å³/cell: 484


*B*
The following is a DFT calculation (GGA-PBE) of Ba3Al2Ga3 after structural relaxation.

a b c (Å): 4.3421 6.7626 18.7972
angles (deg): 90.00 90.00 108.73
With the nearest neighbours (Å) after each atom.
Fractional coordinates of all 16 atoms:
Ba  0.6590  0.3181  0.0678  2 Al 3.42, 6 Ga 3.47-3.60
Ba  0.3410  0.6819  0.5678  2 Al 3.42, 6 Ga 3.47-3.60
Ba  0.6590  0.3181  0.4322  2 Al 3.42, 6 Ga 3.47-3.60
Ba  0.3410  0.6819  0.9322  2 Al 3.42, 6 Ga 3.47-3.60
Ba  0.3323  0.6645  0.2500  3 Ga 3.52-3.64, 4 Al 3.64
Ba  0.6677  0.3355  0.7500  3 Ga 3.52-3.64, 4 Al 3.64
Al  0.9628  0.9257  0.6810  3 Ga 2.59-2.72, 1 Al 2.59
Al  0.0372  0.0743  0.1810  3 Ga 2.59-2.72, 1 Al 2.59
Al  0.9628  0.9257  0.8190  3 Ga 2.59-2.72, 1 Al 2.59
Al  0.0372  0.0743  0.3190  3 Ga 2.59-2.72, 1 Al 2.59
Ga  0.9345  0.8690  0.0626  1 Al 2.59, 1 Ga 2.89
Ga  0.0655  0.1310  0.5626  1 Al 2.59, 1 Ga 2.89
Ga  0.9345  0.8690  0.4374  1 Al 2.59, 1 Ga 2.89
Ga  0.0655  0.1310  0.9374  1 Al 2.59, 1 Ga 2.89
Ga  0.6164  0.2329  0.2500  4 Al 2.72
Ga  0.3836  0.7671  0.7500  4 Al 2.72

Symmetry: Cmcm (63)
Density of states at the Fermi level, states/eV per atom: 0.6816
V, Å³/cell: 523


Structures ranked by computed energy, the most stable listed first: *A*, *B*.


*A*
The following is a DFT calculation (GGA-PBE) of BaSrAlGa after structural relaxation.

a b c (Å): 5.7106 5.7106 5.7106
angles (deg): 60.00 60.00 60.00
With the nearest neighbours (Å) after each atom.
Fractional coordinates of all 4 atoms:
Sr  0.5000  0.5000  0.5000  4 Al 3.50, 4 Ga 3.50
Ba  0.0000  0.0000  0.0000  4 Al 3.50, 4 Ga 3.50
Ga  0.2500  0.2500  0.2500  4 Ba 3.50, 4 Sr 3.50
Al  0.7500  0.7500  0.7500  4 Sr 3.50, 4 Ba 3.50

Symmetry: F-43m (216)
Density of states at the Fermi level, states/eV per atom: 0.8381
V, Å³/cell: 132


*B*
The following is a DFT calculation (GGA-PBE) of BaSrAlGa after structural relaxation.

a b c (Å): 5.0067 4.5411 6.6725
angles (deg): 90.00 112.03 90.00
With the nearest neighbours (Å) after each atom.
Fractional coordinates of all 4 atoms:
Ba  0.7475  0.5000  0.4950  3 Al 3.53-3.69, 4 Ga 3.57
Sr  0.0312  0.0000  0.0624  3 Ga 3.43-3.84, 4 Al 3.53
Al  0.4492  0.5000  0.8985  2 Ga 2.63
Ga  0.3417  0.0000  0.6834  2 Al 2.63

Symmetry: Amm2 (38)
Density of states at the Fermi level, states/eV per atom: 1.2508
V, Å³/cell: 141


Structures ranked by computed energy, the most stable listed first: *B*, *A*.